# 1
Sc2CoNi | GGA-PBE | relaxed

Summary:
ΔH_f (0 K) = -0.05 eV per atom
symmetry = R-3m

a = 7.7020 Å, b = 7.7020 Å, c = 7.7020 Å
α = 24.03°, β = 24.03°, γ = 24.03°
Positions (direct):
Sc 0.2486 0.2486 0.2486
Sc 0.7514 0.7514 0.7514
Co 0.5000 0.5000 0.5000
Ni 0.0000 0.0000 0.0000

# 2
GdTiZnIn | GGA-PBE | relaxed

Summary:
ΔH_f (0 K) = -0.15 eV per atom
symmetry = F-43m

a = 4.9724 Å, b = 4.9724 Å, c = 4.9724 Å
α = 60.00°, β = 60.00°, γ = 60.00°
Positions (direct):
Gd 0.0000 0.0000 0.0000
Ti 0.5000 0.5000 0.5000
Zn 0.7500 0.7500 0.7500
In 0.2500 0.2500 0.2500

# 3
Sc2CuCl | GGA-PBE | relaxed

Summary:
relative energy among the computed polymorphs = 238 meV per atom
uncorrected formation energy = -430 meV per atom
symmetry = C2/m

a = 4.9502 Å, b = 4.9502 Å, c = 3.0713 Å
α = 97.50°, β = 97.50°, γ = 92.45°
Positions (direct):
Sc 0.0000 0.5000 0.0000
Sc 0.5000 0.0000 0.0000
Cu 0.0000 0.0000 0.5000
Cl 0.5000 0.5000 0.5000

# 4
LuGeSb | GGA-PBE | relaxed

Summary:
uncorrected formation energy = -222 meV per atom
symmetry = P3m1

a = 4.6913 Å, b = 4.6913 Å, c = 3.9278 Å
α = 90.00°, β = 90.00°, γ = 120.00°
Positions (direct):
Lu 0.0000 0.0000 0.0000
Ge 0.3333 0.6667 0.6219
Sb 0.6667 0.3333 0.4464

# 5
Ti4CuS8 | GGA-PBE | relaxed

Summary:
relative energy among the computed polymorphs = 59 meV per atom
uncorrected formation energy = -1154 meV per atom
symmetry = R-3m

a = 7.2755 Å, b = 7.2755 Å, c = 7.2755 Å
α = 55.83°, β = 55.83°, γ = 55.83°
Positions (direct):
Ti 0.0000 0.0000 0.0000
Ti 0.0000 0.5000 0.5000
Ti 0.5000 0.0000 0.5000
Ti 0.5000 0.5000 0.0000
Cu 0.5000 0.5000 0.5000
S 0.2467 0.2467 0.7439
S 0.2467 0.7439 0.2467
S 0.2557 0.2557 0.2557
S 0.2561 0.7533 0.7533
S 0.7439 0.2467 0.2467
S 0.7443 0.7443 0.7443
S 0.7533 0.2561 0.7533
S 0.7533 0.7533 0.2561

# 6
FeW | GGA-PBE | relaxed

Summary:
ΔH_f (0 K) = 1.94 eV per atom
symmetry = I-43m

a = 6.4536 Å, b = 6.4536 Å, c = 6.4536 Å
α = 109.47°, β = 109.47°, γ = 109.47°
Positions (direct):
Fe 0.0000 0.0000 0.6559
Fe 0.0000 0.6559 0.0000
Fe 0.3441 0.3441 0.3441
Fe 0.6559 0.0000 0.0000
W 0.0000 0.0000 0.2722
W 0.0000 0.2722 0.0000
W 0.2722 0.0000 0.0000
W 0.7278 0.7278 0.7278

# 7
Pm4Sm2DyEr2 | GGA-PBE | relaxed

Summary:
ΔH_f (0 K) = 0.02 eV per atom
symmetry = C2/m

a = 8.0659 Å, b = 8.0659 Å, c = 8.0347 Å
α = 107.56°, β = 107.56°, γ = 36.85°
Positions (direct):
Pm 0.0549 0.0549 0.3308
Pm 0.2780 0.2780 0.6691
Pm 0.7220 0.7220 0.3309
Pm 0.9451 0.9451 0.6692
Sm 0.3885 0.3885 0.3309
Sm 0.6115 0.6115 0.6691
Dy 0.5000 0.5000 0.0000
Er 0.1670 0.1670 0.0000
Er 0.8330 0.8330 0.0000

# 8
Mn2NbPd2 | GGA-PBE | relaxed

Summary:
ΔH_f (0 K) = 0.29 eV per atom
relative energy among the computed polymorphs = 108 meV per atom
symmetry = P4/mbm

a = 7.3867 Å, b = 7.3867 Å, c = 2.6419 Å
α = 90.00°, β = 90.00°, γ = 90.00°
Positions (direct):
Mn 0.1723 0.3277 0.0000
Mn 0.3277 0.8277 0.0000
Mn 0.6723 0.1723 0.0000
Mn 0.8277 0.6723 0.0000
Nb 0.0000 0.0000 0.5000
Nb 0.5000 0.5000 0.5000
Pd 0.1261 0.6261 0.5000
Pd 0.3739 0.1261 0.5000
Pd 0.6261 0.8739 0.5000
Pd 0.8739 0.3739 0.5000

# 9
NdZrZnTc | GGA-PBE | relaxed

Summary:
ΔH_f (0 K) = -0.05 eV per atom
symmetry = F-43m

a = 4.8969 Å, b = 4.8969 Å, c = 4.8969 Å
α = 60.00°, β = 60.00°, γ = 60.00°
Positions (direct):
Nd 0.0000 0.0000 0.0000
Zr 0.5000 0.5000 0.5000
Zn 0.2500 0.2500 0.2500
Tc 0.7500 0.7500 0.7500

# 10
RbNbPb3 | GGA-PBE | relaxed

Summary:
ΔH_f (0 K) = 2.01 eV per atom
relative energy among the computed polymorphs = 1882 meV per atom
symmetry = Pm-3m

a = 5.8666 Å, b = 5.8666 Å, c = 5.8666 Å
α = 90.00°, β = 90.00°, γ = 90.00°
Positions (direct):
Rb 0.0000 0.0000 0.0000
Nb 0.5000 0.5000 0.5000
Pb 0.0000 0.0000 0.5000
Pb 0.0000 0.5000 0.0000
Pb 0.5000 0.0000 0.0000

# 11
LiPr5Tl6 | GGA-PBE | relaxed

Summary:
ΔH_f (0 K) = -0.36 eV per atom
symmetry = Cmmm

a = 8.6433 Å, b = 8.6433 Å, c = 7.8500 Å
α = 90.00°, β = 90.00°, γ = 143.22°
Positions (direct):
Li 0.0000 0.0000 0.0000
Pr 0.0000 0.0000 0.5000
Pr 0.3299 0.6701 0.5000
Pr 0.3398 0.6602 0.0000
Pr 0.6602 0.3398 0.0000
Pr 0.6701 0.3299 0.5000
Tl 0.1604 0.8396 0.2377
Tl 0.1604 0.8396 0.7623
Tl 0.5000 0.5000 0.2435
Tl 0.5000 0.5000 0.7565
Tl 0.8396 0.1604 0.2377
Tl 0.8396 0.1604 0.7623

# 12
PrTl2InSe4 | GGA-PBE | relaxed

Summary:
relative energy among the computed polymorphs = 13 meV per atom
uncorrected formation energy = -857 meV per atom
symmetry = I-42m

a = 6.7829 Å, b = 6.7829 Å, c = 6.7829 Å
α = 106.85°, β = 106.85°, γ = 114.84°
Positions (direct):
Pr 0.0000 0.0000 0.0000
Tl 0.0000 0.5000 0.5000
Tl 0.5000 0.0000 0.5000
In 0.5000 0.5000 0.0000
Se 0.0936 0.0936 0.6343
Se 0.4593 0.4593 0.3657
Se 0.5407 0.9064 0.0000
Se 0.9064 0.5407 0.0000

# 13
Mg5In6Sn | GGA-PBE | relaxed

Summary:
ΔH_f (0 K) = -0.07 eV per atom
symmetry = C2/m

a = 8.5812 Å, b = 8.5812 Å, c = 4.6545 Å
α = 105.63°, β = 105.63°, γ = 108.19°
Positions (direct):
Mg 0.0000 0.0000 0.0000
Mg 0.1727 0.8273 0.5000
Mg 0.3405 0.6595 0.0000
Mg 0.6595 0.3405 0.0000
Mg 0.8273 0.1727 0.5000
In 0.0732 0.4122 0.2434
In 0.2338 0.2338 0.7335
In 0.4122 0.0732 0.2434
In 0.5878 0.9268 0.7566
In 0.7662 0.7662 0.2665
In 0.9268 0.5878 0.7566
Sn 0.5000 0.5000 0.5000